Entry 1:
Compound: Sc2InS
Source: Alexandria via LeMat-Bulk
Functional: GGA-PBE
Structure: optimized geometry

Magnetization   0.00 μB/f.u.
Distance to the lowest polymorph of the same formula   26.1 meV/atom
Raw formation energy   -1135 meV/atom

a b c (Å): 8.0114 8.0114 8.0114
angles (deg): 25.61 25.61 25.61
Last column: nearest neighbours and their distance in Å.
Fractional positions:
Sc 0.0000 0.0000 0.0000  3 S 2.55
Sc 0.2049 0.2049 0.2049  3 S 2.52
In 0.7693 0.7693 0.7693  6 Sc 3.14
S 0.6016 0.6016 0.6016  6 Sc 2.52-2.55


Entry 2:
Compound: Ba2TbPaAs4
Source: Alexandria via LeMat-Bulk
Functional: GGA-PBE
Structure: optimized geometry

Magnetization   0.00 μB/f.u.
VASP energy   -46.36 eV per cell

a b c (Å): 7.4721 4.3695 7.8901
angles (deg): 90.00 108.59 90.00
Last column: nearest neighbours and their distance in Å.
Fractional positions:
Ba 0.0000 0.0000 0.0000  6 As 3.38-3.39
Ba 0.5000 0.5000 0.0000  6 As 3.30-3.31
Tb 0.0000 0.5000 0.5000  6 As 2.97-2.98
Pa 0.5000 0.0000 0.5000  6 As 2.86-2.91
As 0.2465 0.0000 0.7058  1 Pa 2.86, 2 Tb 2.98
As 0.2740 0.5000 0.2971  2 Pa 2.91, 1 Tb 2.97
As 0.7260 0.5000 0.7029  2 Pa 2.91, 1 Tb 2.97
As 0.7535 0.0000 0.2942  1 Pa 2.86, 2 Tb 2.98


Entry 3:
Compound: Er7Al2Ag2
Source: Alexandria via LeMat-Bulk
Functional: GGA-PBE
Structure: optimized geometry

Magnetization   0.00 μB/f.u.
VASP energy   -44.87 eV per cell

a b c (Å): 6.6727 6.6727 7.3062
angles (deg): 90.00 90.00 108.82
Last column: nearest neighbours and their distance in Å.
Fractional positions:
Er 0.0000 0.0000 0.0000  2 Ag 3.19
Er 0.0000 0.5000 0.2787  2 Ag 2.85
Er 0.0000 0.5000 0.7213  2 Ag 2.85
Er 0.5000 0.0000 0.2787  2 Ag 2.85
Er 0.5000 0.0000 0.7213  2 Ag 2.85
Er 0.5000 0.5000 0.2658  2 Ag 2.97, 2 Al 3.09
Er 0.5000 0.5000 0.7342  2 Ag 2.97, 2 Al 3.09
Al 0.1688 0.1688 0.5000  1 Al 2.62
Al 0.8312 0.8312 0.5000  1 Al 2.62
Ag 0.2935 0.7065 0.0000  7 Er 2.85-3.19
Ag 0.7065 0.2935 0.0000  7 Er 2.85-3.19


Entry 4:
Compound: K8Rb2Au
Source: Alexandria via LeMat-Bulk
Functional: GGA-PBE
Structure: optimized geometry

Magnetization   0.00 μB/f.u.
VASP energy   -14.46 eV per cell

a b c (Å): 12.1643 12.1643 7.8456
angles (deg): 107.54 107.54 44.28
Last column: nearest neighbours and their distance in Å.
Fractional positions:
K 0.1360 0.1360 0.8822  8 K 4.57-4.83, 3 Rb 4.59-4.79
K 0.1895 0.6946 0.6912  1 Au 3.30
K 0.2475 0.2475 0.4895  8 K 4.57-4.75, 2 Rb 4.58-4.63
K 0.3054 0.8105 0.3088  1 Au 3.30
K 0.6946 0.1895 0.6912  1 Au 3.30
K 0.7525 0.7525 0.5105  8 K 4.57-4.75, 2 Rb 4.58-4.63
K 0.8105 0.3054 0.3088  1 Au 3.30
K 0.8640 0.8640 0.1178  8 K 4.57-4.83, 3 Rb 4.59-4.79
Rb 0.3608 0.3608 0.0989  1 Au 3.47
Rb 0.6392 0.6392 0.9011  1 Au 3.47
Au 0.5000 0.5000 0.0000  4 K 3.30, 2 Rb 3.47


Entry 5:
Compound: CuTe2P
Source: Alexandria via LeMat-Bulk
Functional: GGA-PBE
Structure: optimized geometry

Magnetization   0.00 μB/f.u.
Raw formation energy   128 meV/atom

a b c (Å): 3.9402 3.9402 5.8170
angles (deg): 90.00 90.00 90.00
Last column: nearest neighbours and their distance in Å.
Fractional positions:
Cu 0.0000 0.0000 0.0000  5 Te 2.65-2.81
Te 0.0000 0.0000 0.5438  1 Cu 2.65, 4 P 2.80
Te 0.5000 0.5000 0.0587  1 P 2.55, 4 Cu 2.81
P 0.5000 0.5000 0.4967  5 Te 2.55-2.80


Entry 6:
Compound: Sc8AlFe4
Source: Alexandria via LeMat-Bulk
Functional: GGA-PBE
Structure: optimized geometry

Magnetization   3.91 μB/f.u.
VASP energy   -87.38 eV per cell

a b c (Å): 7.1981 7.1981 7.1981
angles (deg): 98.34 98.34 135.24
Last column: nearest neighbours and their distance in Å.
Fractional positions:
Sc 0.0000 0.2118 0.2118  4 Fe 2.75, 4 Sc 2.82-2.92
Sc 0.0000 0.7882 0.7882  4 Fe 2.75, 4 Sc 2.82-2.92
Sc 0.1806 0.5000 0.6806  4 Fe 2.80, 2 Sc 2.92, 1 Al 3.01
Sc 0.2118 0.0000 0.2118  4 Fe 2.75, 4 Sc 2.82-2.92
Sc 0.5000 0.1806 0.6806  4 Fe 2.80, 2 Sc 2.92, 1 Al 3.01
Sc 0.5000 0.8194 0.3194  4 Fe 2.80, 2 Sc 2.92, 1 Al 3.01
Sc 0.7882 0.0000 0.7882  4 Fe 2.75, 4 Sc 2.82-2.92
Sc 0.8194 0.5000 0.3194  4 Fe 2.80, 2 Sc 2.92, 1 Al 3.01
Al 0.5000 0.5000 0.0000  4 Sc 3.01
Fe 0.0000 0.0000 0.5000  2 Fe 2.74, 8 Sc 2.75-2.80
Fe 0.0000 0.5000 0.0000  2 Fe 2.74, 8 Sc 2.75-2.80
Fe 0.5000 0.0000 0.0000  2 Fe 2.74, 8 Sc 2.75-2.80
Fe 0.5000 0.5000 0.5000  2 Fe 2.74, 8 Sc 2.75-2.80


Entry 7:
Compound: Al2VZnC
Source: Alexandria via LeMat-Bulk
Functional: GGA-PBE
Structure: optimized geometry

Magnetization   0.00 μB/f.u.
VASP energy   -22.27 eV per cell

a b c (Å): 4.8973 4.8973 3.8677
angles (deg): 90.00 90.00 90.00
Last column: nearest neighbours and their distance in Å.
Fractional positions:
Al 0.0000 0.5000 0.0000  2 V 2.45
Al 0.5000 0.0000 0.0000  2 V 2.45
V 0.0000 0.0000 0.0000  2 C 1.93
Zn 0.5000 0.5000 0.5000  8 Al 3.12, 4 C 3.46
C 0.0000 0.0000 0.5000  2 V 1.93


Entry 8:
Compound: La3OsI2
Source: Alexandria via LeMat-Bulk
Functional: GGA-PBE
Structure: optimized geometry

Magnetization   0.00 μB/f.u.
Raw formation energy   -857 meV/atom

a b c (Å): 7.6269 7.6269 8.5660
angles (deg): 98.48 98.48 119.94
Last column: nearest neighbours and their distance in Å.
Fractional positions:
La 0.0562 0.4323 0.8045  2 Os 2.86-2.88
La 0.1881 0.1881 0.1933  2 Os 2.88
La 0.4323 0.0562 0.8045  2 Os 2.86-2.88
La 0.5677 0.9438 0.1955  2 Os 2.86-2.88
La 0.8119 0.8119 0.8067  2 Os 2.88
La 0.9438 0.5677 0.1955  2 Os 2.86-2.88
Os 0.1678 0.8322 0.0000  6 La 2.86-2.88
Os 0.8322 0.1678 0.0000  6 La 2.86-2.88
I 0.0000 0.0000 0.5000  6 La 3.34-3.69
I 0.3427 0.6573 0.5000  6 La 3.40-3.71
I 0.5000 0.5000 0.0000  6 La 3.28-3.30
I 0.6573 0.3427 0.5000  6 La 3.40-3.71


Look up the magnetization of the second one.
0.00 μB/f.u.


Number 1 is which compound?
Sc2InS


Among the records above, which one has the highest magnetization?
Sc8AlFe4


Which formula does entry 8 have?
La3OsI2